1.
This record from OQMD via LeMat-Bulk describes a geometry-optimized Sr2NbIrN4O2 structure. The functional is PBE.

Values from the calculation:
Energy relative to the lowest polymorph listed for this composition ... 0.77 kcal/mol of atoms
Space group ... P1 (1)

Cell: 5.639 5.658 8.058 Å, 90.09 90.01 90.28°
Fractional coordinates of all 20 atoms:
Sr (0.000, 0.000, 0.000)
Sr (0.007, 0.004, 0.504)
Sr (0.488, 0.490, 0.999)
Sr (0.496, 0.483, 0.500)
Nb (0.507, 0.984, 0.744)
Nb (0.995, 0.496, 0.252)
Ir (0.495, 0.992, 0.243)
Ir (0.986, 0.504, 0.768)
N (0.249, 0.236, 0.239)
N (0.252, 0.718, 0.736)
N (0.252, 0.749, 0.264)
N (0.736, 0.240, 0.237)
N (0.738, 0.755, 0.264)
N (0.741, 0.260, 0.762)
N (0.759, 0.752, 0.740)
N (0.991, 0.517, 0.001)
O (0.229, 0.224, 0.772)
O (0.487, 0.032, 0.497)
O (0.492, 0.960, 0.001)
O (0.994, 0.460, 0.507)

=====

2.
This record from OQMD via LeMat-Bulk describes a geometry-optimized NdIr2N2 structure. The functional is PBE.

Values from the calculation:
Space group ... P4/nmm (129)

Cell: 3.910 3.910 8.878 Å, 90.00 90.00 90.00°
Fractional coordinates of all 10 atoms:
Nd (0.250, 0.250, 0.237)
Nd (0.750, 0.750, 0.763)
Ir (0.250, 0.250, 0.903)
Ir (0.250, 0.750, 0.500)
Ir (0.750, 0.250, 0.500)
Ir (0.750, 0.750, 0.097)
N (0.250, 0.250, 0.654)
N (0.250, 0.750, 0.000)
N (0.750, 0.250, 0.000)
N (0.750, 0.750, 0.346)

=====

3.
This record from OQMD via LeMat-Bulk describes a geometry-optimized NdIrNO structure. The functional is PBE.

Values from the calculation:
Energy relative to the lowest polymorph listed for this composition ... 14.10 kcal/mol of atoms
Space group ... P4/nmm (129)

Cell: 5.071 5.071 4.404 Å, 90.00 90.00 90.00°
Fractional coordinates of all 8 atoms:
Nd (0.250, 0.750, 0.000)
Nd (0.750, 0.250, 0.000)
Ir (0.250, 0.250, 0.498)
Ir (0.750, 0.750, 0.502)
N (0.250, 0.250, 0.997)
N (0.750, 0.750, 0.003)
O (0.250, 0.750, 0.500)
O (0.750, 0.250, 0.500)

=====

4.
This record from OQMD via LeMat-Bulk describes a geometry-optimized NdIrNO structure. The functional is PBE.

Values from the calculation:
Energy relative to the lowest polymorph listed for this composition ... 14.08 kcal/mol of atoms
Space group ... P4/mmm (123)

Cell: 3.594 3.594 4.397 Å, 90.00 90.00 90.00°
Fractional coordinates of all 4 atoms:
Nd (0.000, 0.000, 0.000)
Ir (0.500, 0.500, 0.500)
N (0.500, 0.500, 0.000)
O (0.000, 0.000, 0.500)

=====

Number 1: total magnetization 0.1 μB/f.u., E -0.5479 Ry/atom, calculated volume 257.1 Å³/cell. Number 2: total magnetization 0.0 μB/f.u., E -0.5515 Ry/atom, calculated volume 135.8 Å³/cell. Number 3: total magnetization 0.0 μB/f.u., E -0.5343 Ry/atom, calculated volume 113.3 Å³/cell. Number 4: total magnetization 0.0 μB/f.u., E -0.5344 Ry/atom, calculated volume 56.8 Å³/cell.